Compound: BaZr2Mo
Source: Alexandria
Functional: GGA-PBE
Structure: optimized geometry

a b c (Å): 3.2028 4.7092 7.3343
angles (deg): 90.00 92.08 90.00
Last column: nearest neighbours and their distance in Å.
Space group Pm (No. 6)
Inequivalent atoms, fractional coordinates:
Ba: 0.0000 0.0000 0.0000  2 Ba 3.20, 2 Mo 3.44, 2 Zr 3.51
Zr: 0.4136 0.0000 0.5391  2 Mo 2.72
Zr: 0.9535 0.5000 0.3532  1 Mo 2.54
Mo: 0.7085 0.5000 0.6789  3 Zr 2.54-2.72

ΔH_f (0 K) in meV per atom: 534

---

Compound: YAg2Mo4
Source: Alexandria
Functional: GGA-PBE
Structure: optimized geometry

a b c (Å): 4.9134 4.9134 13.6138
angles (deg): 90.00 90.00 90.00
Last column: nearest neighbours and their distance in Å.
Space group I4/mmm (No. 139)
Inequivalent atoms, fractional coordinates:
Y: 0.0000 0.0000 0.0000  6 Mo 2.46-2.67
Ag: 0.0000 0.0000 0.3912  5 Mo 2.66-2.87, 1 Ag 2.96
Mo: 0.0000 0.0000 0.1960  1 Ag 2.66, 1 Y 2.67
Mo: 0.0000 0.5000 0.0000  2 Y 2.46

ΔH_f (0 K) in meV per atom: 2228

---

Compound: CaSe2Cl
Source: Alexandria
Functional: GGA-PBE
Structure: optimized geometry

a b c (Å): 4.5770 6.4889 7.3493
angles (deg): 90.00 90.00 90.00
Last column: nearest neighbours and their distance in Å.
Space group Imm2 (No. 44)
Inequivalent atoms, fractional coordinates:
Ca: 0.0000 0.0000 0.0000  2 Cl 2.70
Se: 0.0000 0.0000 0.5474  2 Se 2.49
Se: 0.0000 0.5000 0.1794  2 Se 2.49
Cl: 0.0000 0.5000 0.6939  2 Ca 2.70

ΔE_f (raw) in eV per atom: -1.07

---

Compound: ScAlCu2
Source: Alexandria
Functional: GGA-PBE
Structure: optimized geometry

a b c (Å): 3.1802 4.4769 8.7729
angles (deg): 90.00 90.00 90.00
Last column: nearest neighbours and their distance in Å.
Space group Imm2 (No. 44)
Inequivalent atoms, fractional coordinates:
Sc: 0.0000 0.0000 0.0000  8 Cu 2.75-3.03, 4 Al 2.89-2.98
Al: 0.0000 0.5000 0.7751  6 Cu 2.55-2.77
Cu: 0.0000 0.0000 0.5017  2 Al 2.55, 2 Cu 2.58, 4 Sc 2.75
Cu: 0.0000 0.5000 0.2332  2 Cu 2.58, 4 Al 2.77, 2 Sc 2.83

ΔH_f (0 K) in meV per atom: -192

---

Compound: Tm3Ag2Au
Source: Alexandria
Functional: GGA-PBE
Structure: optimized geometry

a b c (Å): 3.5573 3.5573 10.8147
angles (deg): 90.00 90.00 90.00
Last column: nearest neighbours and their distance in Å.
Space group P4/mmm (No. 123)
Inequivalent atoms, fractional coordinates:
Tm: 0.0000 0.0000 0.0000  8 Ag 3.09
Tm: 0.0000 0.0000 0.3375  4 Au 3.07, 4 Ag 3.12
Ag: 0.5000 0.5000 0.1665  8 Tm 3.09-3.12
Au: 0.5000 0.5000 0.5000  8 Tm 3.07

ΔH_f (0 K) in meV per atom: -531

---

Compound: SrPmIrRh
Source: Alexandria
Functional: GGA-PBE
Structure: optimized geometry

a b c (Å): 7.1031 7.1031 7.1031
angles (deg): 90.00 90.00 90.00
Last column: nearest neighbours and their distance in Å.
Space group F-43m (No. 216)
Inequivalent atoms, fractional coordinates:
Sr: 0.0000 0.0000 0.0000  4 Ir 3.08, 4 Rh 3.08
Pm: 0.0000 0.0000 0.5000  4 Ir 3.08, 4 Rh 3.08
Ir: 0.2500 0.2500 0.2500  4 Pm 3.08, 4 Sr 3.08
Rh: 0.2500 0.2500 0.7500  4 Pm 3.08, 4 Sr 3.08

ΔH_f (0 K) in meV per atom: -287

---

Compound: LaSiNi2
Source: Alexandria
Functional: GGA-PBE
Structure: optimized geometry

a b c (Å): 2.9957 2.9957 6.9899
angles (deg): 90.00 90.00 90.00
Last column: nearest neighbours and their distance in Å.
Space group P4/mmm (No. 123)
Inequivalent atoms, fractional coordinates:
La: 0.0000 0.0000 0.0000  4 La 3.00, 8 Ni 3.10
Si: 0.0000 0.0000 0.5000  8 Ni 2.45
Ni: 0.5000 0.5000 0.3237  4 Si 2.45, 1 Ni 2.46

ΔE_f (raw) in eV per atom: -0.26

---

Compound: MnSi2Ag
Source: Alexandria
Functional: GGA-PBE
Structure: optimized geometry

a b c (Å): 5.9007 7.3112 2.7440
angles (deg): 90.00 90.85 90.00
Last column: nearest neighbours and their distance in Å.
Space group C2/m (No. 12)
Inequivalent atoms, fractional coordinates:
Mn: 0.0000 0.0000 0.0000  8 Si 2.71-2.73, 2 Mn 2.74, 2 Ag 2.95
Si: 0.2500 0.2500 0.5000  4 Mn 2.71-2.73, 4 Ag 2.71-2.73, 4 Si 2.74-2.95
Ag: 0.0000 0.5000 0.0000  8 Si 2.71-2.73, 2 Ag 2.74, 2 Mn 2.95

ΔE_f (raw) in eV per atom: 0.28

---

Compound: VCoIr
Source: Alexandria
Functional: GGA-PBE
Structure: optimized geometry

a b c (Å): 2.6174 4.3904 4.5022
angles (deg): 117.37 90.09 90.07
Last column: nearest neighbours and their distance in Å.
Space group P-1 (No. 2)
Inequivalent atoms, fractional coordinates:
V: 0.0000 0.0000 0.0000  2 Co 2.31
Co: 0.0000 0.5000 0.5000  2 V 2.31, 4 Ir 2.55-2.56
Ir: 0.5000 0.0000 0.5000  4 Co 2.55-2.56, 4 V 2.60-2.61, 2 Ir 2.62

ΔH_f (0 K) in meV per atom: 373

---

Compound: ZrC3
Source: Alexandria
Functional: GGA-PBE
Structure: optimized geometry

a b c (Å): 3.1739 3.1739 14.3670
angles (deg): 90.00 90.00 120.00
Last column: nearest neighbours and their distance in Å.
Space group R-3m (No. 166, hexagonal axes)
Inequivalent atoms, fractional coordinates:
Zr: 0.0000 0.0000 0.0000  6 C 2.27
C: 0.0000 0.0000 0.2400  3 C 2.11, 3 Zr 2.27
C: 0.0000 0.0000 0.5000  6 C 2.11

ΔH_f (0 K) in meV per atom: 2084

---

Compound: Ho3ZnGa
Source: Alexandria
Functional: GGA-PBE
Structure: optimized geometry

a b c (Å): 4.9990 19.6476 4.9949
angles (deg): 90.00 90.00 90.00
Last column: nearest neighbours and their distance in Å.
Space group Cmcm (No. 63)
Inequivalent atoms, fractional coordinates:
Ho: 0.0000 0.0677 0.2500  2 Zn 3.07, 2 Ga 3.09
Ho: 0.0000 0.2494 0.2500  4 Ga 3.05-3.06, 4 Zn 3.07-3.08
Ho: 0.0000 0.4313 0.2500  2 Zn 3.06, 2 Ga 3.08
Zn: 0.0000 0.1586 0.7500  8 Ho 3.06-3.08
Ga: 0.0000 0.3394 0.7500  8 Ho 3.05-3.09

ΔH_f (0 K) in meV per atom: -374

---

Compound: CaTlSbO2
Source: Alexandria
Functional: GGA-PBE
Structure: optimized geometry

a b c (Å): 4.3286 4.3286 6.1032
angles (deg): 90.00 90.00 90.00
Last column: nearest neighbours and their distance in Å.
Space group P4/mmm (No. 123)
Inequivalent atoms, fractional coordinates:
Ca: 0.0000 0.0000 0.0000  2 Sb 3.05, 4 Tl 3.06
Tl: 0.5000 0.5000 0.0000  4 Ca 3.06
Sb: 0.0000 0.0000 0.5000  4 O 2.16
O: 0.0000 0.5000 0.5000  2 Sb 2.16

ΔE_f (raw) in eV per atom: -0.35

---

Compound: Sr3Pd4Pb
Source: Alexandria
Functional: GGA-PBE
Structure: optimized geometry

a b c (Å): 11.6254 11.5744 6.0007
angles (deg): 90.00 90.00 90.00
Last column: nearest neighbours and their distance in Å.
Space group Pnma (No. 62)
Inequivalent atoms, fractional coordinates:
Sr: 0.0516 0.2500 0.1437  6 Pd 2.99-3.18
Sr: 0.1549 0.0053 0.6401  5 Pd 3.02-3.28
Pd: 0.0654 0.2500 0.6414  2 Pb 2.88-3.21, 3 Pd 2.92-3.04, 4 Sr 2.99-3.02
Pd: 0.0759 0.5626 0.1325  2 Pd 2.78-3.04, 1 Pb 2.85, 2 Sr 3.08-3.11
Pd: 0.2214 0.7500 0.8853  2 Pb 2.88-3.18, 3 Pd 2.92-3.12, 2 Sr 3.01-3.18
Pb: 0.1825 0.7500 0.3600  5 Pd 2.85-3.18

ΔH_f (0 K) in meV per atom: -547

---

Compound: CdReSe2
Source: Alexandria
Functional: GGA-PBE
Structure: optimized geometry

a b c (Å): 5.7563 10.2103 2.6830
angles (deg): 90.00 100.68 90.00
Last column: nearest neighbours and their distance in Å.
Space group C2/m (No. 12)
Inequivalent atoms, fractional coordinates:
Cd: 0.0000 0.0000 0.0000  2 Cd 2.68, 2 Re 2.88, 4 Se 2.93
Re: 0.0000 0.5000 0.0000  2 Re 2.68, 2 Cd 2.88, 4 Se 2.93
Se: 0.2500 0.2500 0.0000  4 Se 2.68-2.88, 2 Cd 2.93, 2 Re 2.93

ΔE_f (raw) in eV per atom: 0.74

---

Compound: Sr2YRu
Source: Alexandria
Functional: GGA-PBE
Structure: optimized geometry

a b c (Å): 11.1018 11.1018 5.2388
angles (deg): 90.00 90.00 90.00
Last column: nearest neighbours and their distance in Å.
Space group I-42d (No. 122)
Inequivalent atoms, fractional coordinates:
Sr: 0.1044 0.2500 0.1250  2 Ru 3.08
Y: 0.0000 0.0000 0.5000  2 Ru 2.62
Ru: 0.0000 0.0000 0.0000  2 Y 2.62

ΔH_f (0 K) in meV per atom: 359

---

Compound: ScTi2V
Source: Alexandria
Functional: GGA-PBE
Structure: optimized geometry

a b c (Å): 3.2561 3.2561 6.7702
angles (deg): 90.00 90.00 90.00
Last column: nearest neighbours and their distance in Å.
Space group P4/mmm (No. 123)
Inequivalent atoms, fractional coordinates:
Sc: 0.0000 0.0000 0.0000  8 Ti 3.07, 4 Sc 3.26, 2 V 3.39
Ti: 0.5000 0.5000 0.2999  4 V 2.67, 1 Ti 2.71
V: 0.0000 0.0000 0.5000  8 Ti 2.67

ΔH_f (0 K) in meV per atom: 101

---

Compound: NaFeW3
Source: Alexandria
Functional: GGA-PBE
Structure: optimized geometry

a b c (Å): 4.4285 4.4285 4.4285
angles (deg): 90.00 90.00 90.00
Last column: nearest neighbours and their distance in Å.
Space group Pm-3m (No. 221)
Inequivalent atoms, fractional coordinates:
Na: 0.0000 0.0000 0.0000  6 W 2.21
Fe: 0.5000 0.5000 0.5000  12 W 3.13
W: 0.0000 0.0000 0.5000  2 Na 2.21

ΔH_f (0 K) in meV per atom: 3281

---

Compound: BeHg2P
Source: Alexandria
Functional: GGA-PBE
Structure: optimized geometry

a b c (Å): 5.7687 6.7195 4.0474
angles (deg): 90.00 90.00 90.00
Last column: nearest neighbours and their distance in Å.
Space group Cmmm (No. 65)
Inequivalent atoms, fractional coordinates:
Be: 0.0000 0.0000 0.0000  4 Hg 2.54
Hg: 0.0000 0.2284 0.5000  2 Be 2.54, 2 P 2.72
P: 0.0000 0.5000 0.0000  4 Hg 2.72, 2 Be 2.88

ΔH_f (0 K) in meV per atom: 528

---

Compound: CsNaScCl6
Source: Alexandria
Functional: GGA-PBE
Structure: optimized geometry

a b c (Å): 7.0935 12.3044 7.5448
angles (deg): 90.00 90.03 90.00
Last column: nearest neighbours and their distance in Å.
Space group C2 (No. 5)
Inequivalent atoms, fractional coordinates:
Cs: 0.0000 0.0000 0.0000  6 Cl 3.53
Na: 0.0000 0.6664 0.5000  6 Cl 2.85
Sc: 0.0000 0.3337 0.5000  6 Cl 2.50
Cl: 0.1257 0.4814 0.3066  1 Sc 2.50
Cl: 0.1578 0.1960 0.3077  1 Sc 2.50
Cl: 0.2135 0.8232 0.3087  1 Sc 2.50

ΔE_f (raw) in eV per atom: -1.71

---

Compound: YC2Se
Source: Alexandria
Functional: GGA-PBE
Structure: optimized geometry

a b c (Å): 5.7422 5.7422 7.4251
angles (deg): 90.00 90.00 90.00
Last column: nearest neighbours and their distance in Å.
Space group I-42d (No. 122)
Inequivalent atoms, fractional coordinates:
Y: 0.0000 0.0000 0.0000  4 C 2.47
C: 0.1893 0.7500 0.6250  2 Se 2.03
Se: 0.0000 0.0000 0.5000  4 C 2.03

ΔE_f (raw) in eV per atom: 0.94

---

| no. | raw total energy (eV per atom) |
| --- | --- |
| 1 | -6.928 |
| 2 | -5.699 |
| 3 | -3.776 |
| 4 | -4.759 |
| 5 | -4.264 |
| 6 | -5.948 |
| 7 | -5.741 |
| 8 | -5.439 |
| 9 | -7.989 |
| 10 | -6.971 |
| 11 | -3.981 |
| 12 | -4.034 |
| 13 | -4.238 |
| 14 | -4.339 |
| 15 | -4.417 |
| 16 | -7.709 |
| 17 | -6.447 |
| 18 | -1.907 |
| 19 | -3.883 |
| 20 | -6.157 |